(1)
VASP calculation (PBE) on an optimized crystal structure of Ge2BPb.

Results
Volume: 20.1 A^3/atom
Energy relative to the lowest polymorph listed for this composition: 756 meV/atom
Energy of formation from the pure elements: 1.158 eV/atom
Total moment: 0.0 μB/f.u.
Energy: -3.7473 eV/atom

Cell and atoms, written as CIF:
```
data_Ge2BPb
_chemical_formula_sum 'Ge8 B4 Pb4'
_cell_length_a 6.8473
_cell_length_b 6.8473
_cell_length_c 6.8473
_cell_angle_alpha 90.00
_cell_angle_beta 90.00
_cell_angle_gamma 90.00
_symmetry_space_group_name_H-M 'F m -3 m'
_symmetry_Int_Tables_number 225
_symmetry_space_group_name_Hall '-F 4 2 3'
loop_
_atom_site_label
_atom_site_type_symbol
_atom_site_fract_x
_atom_site_fract_y
_atom_site_fract_z
Ge1 Ge 0.2500 0.2500 0.2500
B1 B 0.0000 0.0000 0.0000
Pb1 Pb 0.0000 0.0000 0.5000
```

***

(2)
VASP calculation (PBE) on an optimized crystal structure of MgSe.

Results
Volume: 27.0 A^3/atom
Total moment: 0.0 μB/f.u.
Energy: -3.8014 eV/atom

Cell and atoms, written as CIF:
```
data_MgSe
_chemical_formula_sum 'Mg2 Se2'
_cell_length_a 4.2620
_cell_length_b 4.2620
_cell_length_c 6.8620
_cell_angle_alpha 90.00
_cell_angle_beta 90.00
_cell_angle_gamma 120.00
_symmetry_space_group_name_H-M 'P 63 m c'
_symmetry_Int_Tables_number 186
_symmetry_space_group_name_Hall 'P 6c -2c'
loop_
_atom_site_label
_atom_site_type_symbol
_atom_site_fract_x
_atom_site_fract_y
_atom_site_fract_z
Mg1 Mg 0.3333 0.6667 0.0000
Se1 Se 0.3333 0.6667 0.6206
```

***

(3)
VASP calculation (PBE) on an optimized crystal structure of BaSr4Ti5O15.

Results
Volume: 12.4 A^3/atom
Total moment: 0.0 μB/f.u.
Energy: -8.0173 eV/atom

Cell and atoms, written as CIF:
```
data_BaSr4Ti5O15
_chemical_formula_sum 'Ba1 Sr4 Ti5 O15'
_cell_length_a 3.9623
_cell_length_b 3.9623
_cell_length_c 19.8116
_cell_angle_alpha 90.00
_cell_angle_beta 90.00
_cell_angle_gamma 90.00
_symmetry_space_group_name_H-M 'P 4/m m m'
_symmetry_Int_Tables_number 123
_symmetry_space_group_name_Hall '-P 4 2'
loop_
_atom_site_label
_atom_site_type_symbol
_atom_site_fract_x
_atom_site_fract_y
_atom_site_fract_z
Ba1 Ba 0.0000 0.0000 0.0000
Sr1 Sr 0.0000 0.0000 0.2023
Sr2 Sr 0.0000 0.0000 0.4007
Ti1 Ti 0.5000 0.5000 0.1033
Ti2 Ti 0.5000 0.5000 0.3015
Ti3 Ti 0.5000 0.5000 0.5000
O1 O 0.0000 0.5000 0.1047
O2 O 0.0000 0.5000 0.3016
O3 O 0.0000 0.5000 0.5000
O4 O 0.5000 0.5000 0.0000
O5 O 0.5000 0.5000 0.2023
O6 O 0.5000 0.5000 0.4008
```

***

The lowest energy belongs to which entry? BaSr4Ti5O15

***

What is the formula in the first record? Ge2BPb